# Tl2Sb2Pb

Crystalline Tl2Sb2Pb at its relaxed geometry (PBE, Alexandria).

```
Tl2Sb2Pb
1.0
4.568 0.005 1.944
1.668 5.730 2.410
-0.033 0.265 6.423
Tl Sb Pb
2 2 1
direct
0.293 0.206 0.707
0.707 0.794 0.293
0.000 0.211 0.289
0.000 0.789 0.711
0.500 0.500 0.000
```

Computed properties:
**Energy above the lowest structure with this stoichiometry**: 55 meV/atom



# TlSbPb4

Crystalline TlSbPb4 at its relaxed geometry (PBE, Alexandria).

```
TlSbPb4
1.0
0.000 4.621 4.621
4.621 0.000 4.621
4.621 4.621 0.000
Tl Sb Pb
1 1 4
direct
0.000 0.000 0.000
0.750 0.750 0.750
0.875 0.375 0.375
0.375 0.375 0.875
0.375 0.875 0.375
0.375 0.375 0.375
```

Computed properties:
**Energy above the lowest structure with this stoichiometry**: 148 meV/atom



# Tl4Sb6Pb5

Crystalline Tl4Sb6Pb5 at its relaxed geometry (PBE, Alexandria).

```
Tl4Sb6Pb5
1.0
5.292 0.000 0.000
-2.646 11.511 0.000
0.000 0.000 16.877
Tl Sb Pb
8 12 10
direct
0.956 0.912 0.286
0.044 0.088 0.786
0.139 0.278 0.302
0.861 0.722 0.802
0.839 0.677 0.445
0.161 0.323 0.945
0.019 0.037 0.498
0.981 0.963 0.998
0.744 0.487 0.276
0.429 0.858 0.418
0.759 0.519 0.970
0.241 0.481 0.470
0.455 0.910 0.852
0.545 0.090 0.352
0.400 0.800 0.130
0.600 0.200 0.630
0.098 0.196 0.116
0.902 0.804 0.616
0.571 0.142 0.918
0.256 0.513 0.776
0.467 0.935 0.668
0.533 0.065 0.168
0.169 0.338 0.628
0.831 0.662 0.128
0.663 0.327 0.459
0.337 0.673 0.959
0.323 0.646 0.618
0.677 0.354 0.118
0.323 0.647 0.291
0.677 0.353 0.791
```



# Tl2Sb2Pb

Crystalline Tl2Sb2Pb at its relaxed geometry (PBE, Alexandria).

```
Tl2Sb2Pb
1.0
-0.260 -2.093 3.706
-1.466 -3.442 -2.046
7.621 -5.737 -0.252
Pb Sb Tl
1 2 2
direct
0.000 0.000 0.000
0.750 0.250 0.500
0.250 0.750 0.500
0.399 0.399 0.202
0.601 0.601 0.798
```

Computed properties:
**Energy above the lowest structure with this stoichiometry**: 145 meV/atom



Number 1: size of the total moment 0.000 μB per atom, formation energy from raw total energies 0.29 eV/f.u.. Number 2: size of the total moment 0.000 μB per atom, formation energy from raw total energies 1.10 eV/f.u.. Number 3: size of the total moment 0.000 μB per atom, formation energy from raw total energies 0.31 eV/f.u.. Number 4: size of the total moment 0.000 μB per atom, formation energy from raw total energies 0.74 eV/f.u..